! KRbMnF4 PBE+U relaxed; values from VASP
&SYSTEM
  ibrav = 0, nat = 14, ntyp = 4
/
ATOMIC_SPECIES
K 39.10 K.upf
Rb 85.47 Rb.upf
Mn 54.94 Mn.upf
F 19.00 F.upf
ATOMIC_POSITIONS angstrom
K 0.0000 0.0000 0.0000
K 2.1368 2.1368 6.8766
Rb 0.0000 0.0000 9.7200
Rb 2.1368 2.1368 2.8434
Mn 0.0000 0.0000 4.8844
Mn 2.1368 2.1368 11.7610
F 0.0000 0.0000 2.7253
F 0.0000 0.0000 7.0114
F 0.0000 2.1368 4.9240
F 0.0000 2.1368 11.8006
F 2.1368 0.0000 4.9240
F 2.1368 0.0000 11.8006
F 2.1368 2.1368 0.1349
F 2.1368 2.1368 9.6019
CELL_PARAMETERS angstrom
4.2736 0.0000 0.0000
0.0000 4.2736 0.0000
0.0000 0.0000 13.7531
! Calculated total energy in eV per atom: -5.187
! Space group: I4mm (107)